[1]
DFT (PBE-GGA) results for an optimized crystal structure of CdAg2Cl.

- ΔE_f (raw) (eV per atom) = -0.087
- Fermi-level density of states (states/eV/cell) = 1.59
- electronic total energy (eV per atom) = -2.20

Structure (CIF):
```
data_CdAg2Cl
_chemical_formula_sum 'Cd2 Ag4 Cl2'
_cell_length_a 3.116
_cell_length_b 5.762
_cell_length_c 9.388
_cell_angle_alpha 90.00
_cell_angle_beta 90.00
_cell_angle_gamma 90.00
_space_group_name_H-M_alt 'I m m m'
_space_group_IT_number 71
_space_group_name_Hall '-I 2 2'
loop_
_atom_site_label
_atom_site_type_symbol
_atom_site_fract_x
_atom_site_fract_y
_atom_site_fract_z
Cd1 Cd 0.000 0.000 0.000
Ag1 Ag 0.000 0.500 0.244
Cl1 Cl 0.000 0.000 0.500
```


[2]
DFT (PBE-GGA) results for an optimized crystal structure of NaPr2Pt.

- Fermi-level density of states (states/eV/cell) = 3.22
- electronic total energy (eV per atom) = -4.67
- formation energy (eV per atom) = -0.439

Structure (CIF):
```
data_NaPr2Pt
_chemical_formula_sum 'Na1 Pr2 Pt1'
_cell_length_a 3.642
_cell_length_b 3.642
_cell_length_c 9.415
_cell_angle_alpha 90.00
_cell_angle_beta 90.00
_cell_angle_gamma 90.00
_space_group_name_H-M_alt 'P 4/m m m'
_space_group_IT_number 123
_space_group_name_Hall '-P 4 2'
loop_
_atom_site_label
_atom_site_type_symbol
_atom_site_fract_x
_atom_site_fract_y
_atom_site_fract_z
Na1 Na 0.000 0.000 0.000
Pr1 Pr 0.500 0.500 0.318
Pt1 Pt 0.000 0.000 0.500
```


[3]
DFT (PBE-GGA) results for an optimized crystal structure of PmPrIn2.

- Fermi-level density of states (states/eV/cell) = 6.03
- electronic total energy (eV per atom) = -4.25
- formation energy (eV per atom) = -0.497

Structure (CIF):
```
data_PmPrIn2
_chemical_formula_sum 'Pm4 Pr4 In8'
_cell_length_a 7.752
_cell_length_b 7.752
_cell_length_c 7.752
_cell_angle_alpha 90.00
_cell_angle_beta 90.00
_cell_angle_gamma 90.00
_space_group_name_H-M_alt 'F m -3 m'
_space_group_IT_number 225
_space_group_name_Hall '-F 4 2 3'
loop_
_atom_site_label
_atom_site_type_symbol
_atom_site_fract_x
_atom_site_fract_y
_atom_site_fract_z
Pm1 Pm 0.000 0.000 0.000
Pr1 Pr 0.000 0.000 0.500
In1 In 0.250 0.250 0.250
```


[4]
DFT (PBE-GGA) results for an optimized crystal structure of ScMo6W5.

- Fermi-level density of states (states/eV/cell) = 12.46
- electronic total energy (eV per atom) = -11.36
- formation energy (eV per atom) = -0.018

Structure (CIF):
```
data_ScMo6W5
_chemical_formula_sum 'Sc2 Mo12 W10'
_cell_length_a 4.503
_cell_length_b 6.371
_cell_length_c 13.530
_cell_angle_alpha 90.00
_cell_angle_beta 90.00
_cell_angle_gamma 90.00
_space_group_name_H-M_alt 'I m m m'
_space_group_IT_number 71
_space_group_name_Hall '-I 2 2'
loop_
_atom_site_label
_atom_site_type_symbol
_atom_site_fract_x
_atom_site_fract_y
_atom_site_fract_z
Sc1 Sc 0.000 0.000 0.000
Mo1 Mo 0.000 0.245 0.500
Mo2 Mo 0.000 0.253 0.169
W1 W 0.000 0.000 0.334
W2 W 0.000 0.500 0.000
W3 W 0.000 0.500 0.333
```